# 1
The following is a DFT calculation (PBE) of an optimized crystal structure of TcAgNO.

Computed properties:
Space-group type: Pca2_1 (29)
Relative energy among the computed polymorphs (eV/f.u.): 0.38
Raw total energy (eV/atom): -6.6462

The structure in extended XYZ format:
```
16
Lattice="5.596 0.000 0.000 0.000 8.181 0.000 0.000 0.000 4.694" Properties=species:S:1:pos:R:3 pbc="T T T"
Tc 0.697 1.256 0.000
Tc 2.100 1.256 2.347
Tc 3.495 6.924 0.000
Tc 4.898 6.924 2.347
Ag 0.322 5.207 4.516
Ag 2.476 5.207 2.169
Ag 3.120 2.974 4.516
Ag 5.274 2.974 2.169
N 0.055 2.886 4.528
N 2.743 2.886 2.181
N 2.853 5.295 4.528
N 5.541 5.295 2.181
O 0.573 0.057 3.032
O 2.225 0.057 0.685
O 3.370 8.123 3.032
O 5.023 8.123 0.685
```

=====

# 2
The following is a DFT calculation (PBE) of an optimized crystal structure of Ho2LuCo9.

Computed properties:
Space-group type: R-3m (166)
E_form (eV per atom): -0.1959
Raw total energy (eV/atom): -6.6655

The structure in extended XYZ format:
```
12
Lattice="2.454 1.417 8.051 -2.454 1.417 8.051 0.000 -2.833 8.051" Properties=species:S:1:pos:R:3 pbc="T T T"
Ho 0.000 0.000 3.370
Ho 0.000 0.000 20.784
Lu 0.000 0.000 0.000
Co -1.237 -0.714 10.012
Co 0.000 0.000 8.085
Co 0.000 -1.428 14.142
Co -1.237 0.714 14.142
Co 0.000 0.000 12.077
Co 1.237 -0.714 10.012
Co 0.000 1.428 10.012
Co 0.000 0.000 16.069
Co 1.237 0.714 14.142
```

=====

# 3
The following is a DFT calculation (PBE) of an optimized crystal structure of AcYPt.

Computed properties:
Space-group type: F-43m (216)
E_form (eV per atom): -0.0484
Raw total energy (eV/atom): -5.5907

The structure in extended XYZ format:
```
3
Lattice="0.000 3.493 3.493 3.493 0.000 3.493 3.493 3.493 0.000" Properties=species:S:1:pos:R:3 pbc="T T T"
Ac 0.000 0.000 0.000
Y 5.239 5.239 5.239
Pt 3.493 3.493 3.493
```

=====

# 4
The following is a DFT calculation (PBE) of an optimized crystal structure of ErTmCu6.

Computed properties:
Space-group type: Pmm2 (25)
E_form (eV per atom): -0.1921
Raw total energy (eV/atom): -4.1096

The structure in extended XYZ format:
```
8
Lattice="4.375 0.000 0.000 0.000 5.716 0.000 0.000 0.000 5.050" Properties=species:S:1:pos:R:3 pbc="T T T"
Er 0.000 0.000 0.000
Tm 2.187 2.858 1.407
Cu 0.000 1.322 2.515
Cu 0.000 2.858 4.515
Cu 0.000 4.394 2.515
Cu 2.187 0.000 1.975
Cu 2.187 1.561 3.939
Cu 2.187 4.155 3.939
```

=====

# 5
The following is a DFT calculation (PBE) of an optimized crystal structure of NdBe.

Computed properties:
Space-group type: P-6m2 (187)
Relative energy among the computed polymorphs (eV/f.u.): 0.00
Raw total energy (eV/atom): -3.6629

The structure in extended XYZ format:
```
2
Lattice="3.607 0.000 0.000 -1.804 3.124 0.000 0.000 0.000 4.329" Properties=species:S:1:pos:R:3 pbc="T T T"
Nd 0.000 0.000 0.000
Be 0.000 2.083 2.165
```

=====

# 6
The following is a DFT calculation (PBE) of an optimized crystal structure of Ac4Ag2Ir.

Computed properties:
Space-group type: P4/mmm (123)
E_form (eV per atom): -0.2382
Raw total energy (eV/atom): -4.6564

The structure in extended XYZ format:
```
7
Lattice="5.386 0.000 0.000 0.000 5.386 0.000 0.000 0.000 7.838" Properties=species:S:1:pos:R:3 pbc="T T T"
Ac 0.000 2.693 1.855
Ac 0.000 2.693 5.983
Ac 2.693 0.000 1.855
Ac 2.693 0.000 5.983
Ag 0.000 0.000 0.000
Ag 2.693 2.693 3.919
Ir 2.693 2.693 0.000
```

=====

# 7
The following is a DFT calculation (PBE) of an optimized crystal structure of NiB2Pt.

Computed properties:
Space-group type: F-43m (216)
Raw total energy (eV/atom): -5.3042

The structure in extended XYZ format:
```
4
Lattice="0.000 2.753 2.753 2.753 0.000 2.753 2.753 2.753 0.000" Properties=species:S:1:pos:R:3 pbc="T T T"
Ni 0.000 0.000 0.000
B 1.376 1.376 1.376
B 2.753 2.753 2.753
Pt 4.129 4.129 4.129
```

=====

# 8
The following is a DFT calculation (PBE) of an optimized crystal structure of TaB4Pt.

Computed properties:
Space-group type: Immm (71)
Relative energy among the computed polymorphs (eV/f.u.): 0.03
Raw total energy (eV/atom): -7.5392

The structure in extended XYZ format:
```
6
Lattice="-1.538 2.509 3.758 1.538 -2.509 3.758 1.538 2.509 -3.758" Properties=species:S:1:pos:R:3 pbc="T T T"
Ta 0.000 0.000 0.000
B 1.538 -0.936 1.693
B 1.538 0.936 1.693
B 0.000 1.573 2.065
B 0.000 3.444 2.065
Pt 0.000 0.000 3.758
```

=====

# 9
The following is a DFT calculation (PBE) of an optimized crystal structure of FeCoPbW.

Computed properties:
Space-group type: F-43m (216)
Relative energy among the computed polymorphs (eV/f.u.): 0.70
Raw total energy (eV/atom): -7.2431

The structure in extended XYZ format:
```
4
Lattice="0.000 3.146 3.146 3.146 0.000 3.146 3.146 3.146 0.000" Properties=species:S:1:pos:R:3 pbc="T T T"
Fe 0.000 0.000 0.000
Co 4.718 4.718 4.718
Pb 3.146 3.146 3.146
W 1.573 1.573 1.573
```

=====

# 10
The following is a DFT calculation (PBE) of an optimized crystal structure of GaFeAu2S4.

Computed properties:
Space-group type: P-3m1 (164)
Raw total energy (eV/atom): -4.5981

The structure in extended XYZ format:
```
8
Lattice="3.490 0.000 0.000 -1.745 3.022 0.000 0.000 0.000 14.240" Properties=species:S:1:pos:R:3 pbc="T T T"
Ga 0.000 0.000 0.000
Fe 0.000 0.000 7.120
Au 0.000 2.015 3.674
Au 1.745 1.007 10.566
S 0.000 2.015 1.346
S 0.000 2.015 5.986
S 1.745 1.007 8.254
S 1.745 1.007 12.894
```

=====

# 11
The following is a DFT calculation (PBE) of an optimized crystal structure of DyTaBe.

Computed properties:
Space-group type: F-43m (216)
Raw total energy (eV/atom): -6.1047

The structure in extended XYZ format:
```
3
Lattice="0.000 3.100 3.100 3.100 0.000 3.100 3.100 3.100 0.000" Properties=species:S:1:pos:R:3 pbc="T T T"
Dy 0.000 0.000 0.000
Ta 3.100 3.100 3.100
Be 1.550 1.550 1.550
```

=====

# 12
The following is a DFT calculation (PBE) of an optimized crystal structure of YTm2Sn3Pd2Pt.

Computed properties:
Space-group type: Amm2 (38)
Raw total energy (eV/atom): -5.8458

The structure in extended XYZ format:
```
9
Lattice="3.911 0.000 0.000 0.000 6.573 3.779 0.000 -6.573 3.779" Properties=species:S:1:pos:R:3 pbc="T T T"
Y 0.000 0.000 0.000
Tm 0.000 -2.626 3.025
Tm 0.000 2.626 3.025
Sn 1.955 0.000 2.536
Sn 1.955 -1.730 5.529
Sn 1.955 1.730 5.529
Pd 1.955 -4.348 4.545
Pd 1.955 4.348 4.545
Pt 0.000 0.000 4.512
```